(1)
Density functional theory data (PBE+U) for Na2PuFeO4 after structural relaxation.

a b c (Å): 3.369 5.574 5.879
angles (deg): 108.76 90.00 90.00
Sites, in units of the cell vectors:
O  0.500  0.767  0.778
Pu  0.000  0.000  0.000
Na  0.000  0.500  0.500
O  0.000  0.734  0.204
Fe  0.500  0.500  0.000
O  0.500  0.233  0.222
O  0.000  0.266  0.796
Na  0.500  0.000  0.500

## Properties
* space group: P2/m
* electronic total energy: -7.3712 eV per atom

=====

(2)
Density functional theory data (PBE+U) for NaNiPO4 after structural relaxation.

a b c (Å): 5.591 5.591 5.591
angles (deg): 60.00 60.00 60.00
Sites, in units of the cell vectors:
O  0.362  0.913  0.362
P  0.250  0.250  0.250
O  0.362  0.362  0.362
O  0.362  0.362  0.913
Na  0.750  0.750  0.750
Ni  0.500  0.500  0.500
O  0.913  0.362  0.362

## Properties
* space group: F-43m
* excess energy over the best structure of this formula in the dataset: 0.439 eV/atom

=====

Number 1: magnetic moment 0.00 μB/f.u., N(E_F) 3.97 states/eV/cell. Number 2: magnetic moment 2.00 μB/f.u., N(E_F) 3.46 states/eV/cell.